No. 1
Crystalline EuGePt2 at its relaxed geometry. Source: the Alexandria database, functional GGA-PBE.

- total moment (μB per cell) = 20.70
- volume (Å³/atom) = 21.316
- crystal system = trigonal
- energy of formation from the pure elements (eV per formula unit) = -3.03

a = 4.360 Å, b = 4.360 Å, c = 15.534 Å
α = 90.00°, β = 90.00°, γ = 120.00°
Fractional positions:
Eu 0.000 0.000 0.000
Eu 0.333 0.667 0.667
Eu 0.667 0.333 0.333
Ge 0.000 0.000 0.500
Ge 0.333 0.667 0.167
Ge 0.667 0.333 0.833
Pt 0.000 0.000 0.205
Pt 0.000 0.000 0.795
Pt 0.333 0.667 0.461
Pt 0.333 0.667 0.872
Pt 0.667 0.333 0.128
Pt 0.667 0.333 0.539

No. 2
Crystalline EuPuGePt at its relaxed geometry. Source: the Alexandria database, functional GGA-PBE.

- total moment (μB per cell) = 47.08
- volume (Å³/atom) = 23.275
- crystal system = cubic
- energy of formation from the pure elements (eV per formula unit) = -2.26

a = 7.195 Å, b = 7.195 Å, c = 7.195 Å
α = 90.00°, β = 90.00°, γ = 90.00°
Fractional positions:
Eu 0.000 0.000 0.000
Eu 0.000 0.500 0.500
Eu 0.500 0.000 0.500
Eu 0.500 0.500 0.000
Pu 0.000 0.000 0.500
Pu 0.000 0.500 0.000
Pu 0.500 0.000 0.000
Pu 0.500 0.500 0.500
Ge 0.250 0.250 0.750
Ge 0.250 0.750 0.250
Ge 0.750 0.250 0.250
Ge 0.750 0.750 0.750
Pt 0.250 0.250 0.250
Pt 0.250 0.750 0.750
Pt 0.750 0.250 0.750
Pt 0.750 0.750 0.250

No. 3
Crystalline EuTmGePt at its relaxed geometry. Source: the Alexandria database, functional GGA-PBE.

- total moment (μB per cell) = 26.99
- volume (Å³/atom) = 22.664
- crystal system = cubic
- energy of formation from the pure elements (eV per formula unit) = -3.20

a = 7.131 Å, b = 7.131 Å, c = 7.131 Å
α = 90.00°, β = 90.00°, γ = 90.00°
Fractional positions:
Eu 0.000 0.000 0.000
Eu 0.000 0.500 0.500
Eu 0.500 0.000 0.500
Eu 0.500 0.500 0.000
Tm 0.000 0.000 0.500
Tm 0.000 0.500 0.000
Tm 0.500 0.000 0.000
Tm 0.500 0.500 0.500
Ge 0.250 0.250 0.250
Ge 0.250 0.750 0.750
Ge 0.750 0.250 0.750
Ge 0.750 0.750 0.250
Pt 0.250 0.250 0.750
Pt 0.250 0.750 0.250
Pt 0.750 0.250 0.250
Pt 0.750 0.750 0.750

No. 4
Crystalline EuYGePt at its relaxed geometry. Source: the Alexandria database, functional GGA-PBE.

- total moment (μB per cell) = 27.15
- volume (Å³/atom) = 23.237
- crystal system = cubic
- energy of formation from the pure elements (eV per formula unit) = -3.20

a = 7.191 Å, b = 7.191 Å, c = 7.191 Å
α = 90.00°, β = 90.00°, γ = 90.00°
Fractional positions:
Eu 0.000 0.000 0.000
Eu 0.000 0.500 0.500
Eu 0.500 0.000 0.500
Eu 0.500 0.500 0.000
Y 0.000 0.000 0.500
Y 0.000 0.500 0.000
Y 0.500 0.000 0.000
Y 0.500 0.500 0.500
Ge 0.250 0.250 0.250
Ge 0.250 0.750 0.750
Ge 0.750 0.250 0.750
Ge 0.750 0.750 0.250
Pt 0.250 0.250 0.750
Pt 0.250 0.750 0.250
Pt 0.750 0.250 0.250
Pt 0.750 0.750 0.750

No. 5
Crystalline EuPuTlGe at its relaxed geometry. Source: the Alexandria database, functional GGA-PBE.

- total moment (μB per cell) = 4.86
- volume (Å³/atom) = 27.279
- crystal system = cubic
- energy of formation from the pure elements (eV per formula unit) = -0.96

a = 7.585 Å, b = 7.585 Å, c = 7.585 Å
α = 90.00°, β = 90.00°, γ = 90.00°
Fractional positions:
Eu 0.000 0.000 0.000
Eu 0.000 0.500 0.500
Eu 0.500 0.000 0.500
Eu 0.500 0.500 0.000
Pu 0.000 0.000 0.500
Pu 0.000 0.500 0.000
Pu 0.500 0.000 0.000
Pu 0.500 0.500 0.500
Tl 0.250 0.250 0.250
Tl 0.250 0.750 0.750
Tl 0.750 0.250 0.750
Tl 0.750 0.750 0.250
Ge 0.250 0.250 0.750
Ge 0.250 0.750 0.250
Ge 0.750 0.250 0.250
Ge 0.750 0.750 0.750

No. 6
Crystalline EuPuZnGe at its relaxed geometry. Source: the Alexandria database, functional GGA-PBE.

- total moment (μB per cell) = 52.24
- volume (Å³/atom) = 24.187
- crystal system = cubic
- energy of formation from the pure elements (eV per formula unit) = -1.33

a = 7.287 Å, b = 7.287 Å, c = 7.287 Å
α = 90.00°, β = 90.00°, γ = 90.00°
Fractional positions:
Eu 0.000 0.000 0.000
Eu 0.000 0.500 0.500
Eu 0.500 0.000 0.500
Eu 0.500 0.500 0.000
Pu 0.000 0.000 0.500
Pu 0.000 0.500 0.000
Pu 0.500 0.000 0.000
Pu 0.500 0.500 0.500
Zn 0.250 0.250 0.750
Zn 0.250 0.750 0.250
Zn 0.750 0.250 0.250
Zn 0.750 0.750 0.750
Ge 0.250 0.250 0.250
Ge 0.250 0.750 0.750
Ge 0.750 0.250 0.750
Ge 0.750 0.750 0.250

No. 7
Crystalline EuGe2Rh at its relaxed geometry. Source: the Alexandria database, functional GGA-PBE.

- total moment (μB per cell) = 20.39
- volume (Å³/atom) = 20.298
- crystal system = trigonal
- energy of formation from the pure elements (eV per formula unit) = -2.72

a = 4.204 Å, b = 4.204 Å, c = 15.913 Å
α = 90.00°, β = 90.00°, γ = 120.00°
Fractional positions:
Eu 0.000 0.000 0.000
Eu 0.333 0.667 0.667
Eu 0.667 0.333 0.333
Ge 0.000 0.000 0.216
Ge 0.000 0.000 0.784
Ge 0.333 0.667 0.450
Ge 0.333 0.667 0.883
Ge 0.667 0.333 0.117
Ge 0.667 0.333 0.550
Rh 0.000 0.000 0.500
Rh 0.333 0.667 0.167
Rh 0.667 0.333 0.833

No. 8
Crystalline EuGe3Rh at its relaxed geometry. Source: the Alexandria database, functional GGA-PBE.

- total moment (μB per cell) = 13.68
- volume (Å³/atom) = 20.005
- crystal system = tetragonal
- energy of formation from the pure elements (eV per formula unit) = -3.20

a = 4.440 Å, b = 4.440 Å, c = 10.148 Å
α = 90.00°, β = 90.00°, γ = 90.00°
Fractional positions:
Eu 0.000 0.000 0.000
Eu 0.500 0.500 0.500
Ge 0.000 0.000 0.584
Ge 0.000 0.500 0.242
Ge 0.000 0.500 0.742
Ge 0.500 0.000 0.242
Ge 0.500 0.000 0.742
Ge 0.500 0.500 0.084
Rh 0.000 0.000 0.347
Rh 0.500 0.500 0.847

No. 9
Crystalline EuGeRh2 at its relaxed geometry. Source: the Alexandria database, functional GGA-PBE.

- total moment (μB per cell) = 20.67
- volume (Å³/atom) = 19.974
- crystal system = trigonal
- energy of formation from the pure elements (eV per formula unit) = -2.32

a = 4.259 Å, b = 4.259 Å, c = 15.256 Å
α = 90.00°, β = 90.00°, γ = 120.00°
Fractional positions:
Eu 0.000 0.000 0.000
Eu 0.333 0.667 0.667
Eu 0.667 0.333 0.333
Ge 0.000 0.000 0.500
Ge 0.333 0.667 0.167
Ge 0.667 0.333 0.833
Rh 0.000 0.000 0.206
Rh 0.000 0.000 0.794
Rh 0.333 0.667 0.461
Rh 0.333 0.667 0.873
Rh 0.667 0.333 0.127
Rh 0.667 0.333 0.539

No. 10
Crystalline EuGe7Rh3 at its relaxed geometry. Source: the Alexandria database, functional GGA-PBE.

- total moment (μB per cell) = 13.34
- volume (Å³/atom) = 17.452
- crystal system = trigonal
- energy of formation from the pure elements (eV per formula unit) = -5.49

a = 8.357 Å, b = 8.357 Å, c = 8.357 Å
α = 56.98°, β = 56.98°, γ = 56.98°
Fractional positions:
Eu 0.000 0.000 0.000
Eu 0.500 0.500 0.500
Ge 0.074 0.851 0.667
Ge 0.149 0.333 0.926
Ge 0.167 0.351 0.574
Ge 0.250 0.250 0.250
Ge 0.333 0.926 0.149
Ge 0.351 0.574 0.167
Ge 0.426 0.833 0.649
Ge 0.574 0.167 0.351
Ge 0.649 0.426 0.833
Ge 0.667 0.074 0.851
Ge 0.750 0.750 0.750
Ge 0.833 0.649 0.426
Ge 0.851 0.667 0.074
Ge 0.926 0.149 0.333
Rh 0.066 0.750 0.434
Rh 0.250 0.566 0.934
Rh 0.434 0.066 0.750
Rh 0.566 0.934 0.250
Rh 0.750 0.434 0.066
Rh 0.934 0.250 0.566

No. 11
Crystalline EuGeRh at its relaxed geometry. Source: the Alexandria database, functional GGA-PBE.

- total moment (μB per cell) = 6.93
- volume (Å³/atom) = 22.164
- crystal system = hexagonal
- energy of formation from the pure elements (eV per formula unit) = -2.05

a = 4.253 Å, b = 4.253 Å, c = 4.245 Å
α = 90.00°, β = 90.00°, γ = 120.00°
Fractional positions:
Eu 0.000 0.000 0.000
Ge 0.333 0.667 0.500
Rh 0.667 0.333 0.500

No. 12
Crystalline EuGeRu at its relaxed geometry. Source: the Alexandria database, functional GGA-PBE.

- total moment (μB per cell) = 6.83
- volume (Å³/atom) = 22.323
- crystal system = hexagonal
- energy of formation from the pure elements (eV per formula unit) = -1.09

a = 4.209 Å, b = 4.209 Å, c = 4.366 Å
α = 90.00°, β = 90.00°, γ = 120.00°
Fractional positions:
Eu 0.000 0.000 0.000
Ge 0.333 0.667 0.500
Ru 0.667 0.333 0.500